# Zr2NiSe

A relaxed structure of Zr2NiSe (PBE-GGA, Alexandria).

Unit cell a=3.7807 b=3.7807 c=5.4148 alpha=90.00 beta=90.00 gamma=90.00
Last column: nearest neighbours and their distance in Å.
Space group P4mm (No. 99)
Symmetry-distinct sites (fractional):
Zr 0.0000 0.0000 0.0000 x1  4 Se 2.67, 2 Ni 2.69-2.72
Zr 0.5000 0.5000 0.4926 x1  4 Ni 2.67, 2 Se 2.70-2.72
Ni 0.0000 0.0000 0.4968 x1  6 Zr 2.67-2.72
Se 0.5000 0.5000 0.9908 x1  6 Zr 2.67-2.72

- uncorrected energy (eV per atom) = -7.2538
- formation energy (no corrections) (kJ per mole of atoms) = -64.00